# PrCuHgPd | the Alexandria database | PBE-GGA | relaxed
data_PrCuHgPd
_cell_length_a 6.934
_cell_length_b 6.934
_cell_length_c 6.934
_cell_angle_alpha 90.00
_cell_angle_beta 90.00
_cell_angle_gamma 90.00
_symmetry_space_group_name_H-M 'F -4 3 m'
_symmetry_Int_Tables_number 216
_symmetry_space_group_name_Hall 'F -4 2 3'
loop_
_atom_site_label
_atom_site_fract_x
_atom_site_fract_y
_atom_site_fract_z
_atom_site_occupancy
Pr1 0.000 0.000 0.000 1
Cu1 0.250 0.250 0.250 1
Hg1 0.000 0.000 0.500 1
Pd1 0.250 0.250 0.750 1
# Total energy   -0.2901 Ry/atom
# Magnetization   0.00 μB/atom
# N(E_F)   10.302 states/eV per cell